[1]
DFT (PBE) results for a relaxed GdPd crystal.

Unit cell a=3.703 b=3.703 c=3.963 alpha=90.00 beta=90.00 gamma=120.00
Atoms (fractional coordinates):
Gd 0.667 0.333 0.750
Pd 0.333 0.667 0.250

Values from the calculation:
Uncorrected energy in eV/cell: -11.07
Space-group type: P-6m2
Total magnetization in μB/f.u.: 0.00

[2]
DFT (PBE) results for a relaxed Pr4Si2S3O7 crystal.

Unit cell a=11.078 b=11.078 c=11.078 alpha=114.30 beta=114.30 gamma=100.20
Atoms (fractional coordinates):
O 0.272 0.272 0.000
O 0.728 0.728 0.000
O 0.309 0.049 0.021
O 0.713 0.972 0.021
O 0.526 0.300 0.227
O 0.700 0.927 0.227
O 0.799 0.278 0.241
O 0.441 0.963 0.241
O 0.309 0.287 0.259
O 0.951 0.972 0.259
O 0.050 0.323 0.273
O 0.224 0.950 0.273
O 0.441 0.201 0.479
O 0.037 0.278 0.479
O 0.022 0.522 0.500
O 0.478 0.978 0.500
O 0.799 0.559 0.521
O 0.722 0.963 0.521
O 0.050 0.776 0.727
O 0.677 0.950 0.727
O 0.028 0.049 0.741
O 0.713 0.691 0.741
O 0.722 0.201 0.759
O 0.037 0.559 0.759
O 0.073 0.300 0.773
O 0.700 0.474 0.773
O 0.028 0.287 0.979
O 0.951 0.691 0.979
Pr 0.828 0.172 0.000
Pr 0.172 0.828 0.000
Pr 0.578 0.078 0.157
Pr 0.705 0.468 0.236
Pr 0.532 0.768 0.236
Pr 0.218 0.482 0.264
Pr 0.045 0.782 0.264
Pr 0.172 0.172 0.343
Pr 0.922 0.078 0.500
Pr 0.578 0.422 0.500
Pr 0.828 0.828 0.657
Pr 0.518 0.782 0.736
Pr 0.218 0.955 0.736
Pr 0.532 0.295 0.764
Pr 0.232 0.468 0.764
Pr 0.922 0.422 0.843
S 0.000 0.000 0.000
S 0.500 0.500 0.000
S 0.875 0.476 0.101
S 0.226 0.625 0.101
S 0.524 0.625 0.399
S 0.875 0.774 0.399
S 0.750 0.250 0.500
S 0.250 0.750 0.500
S 0.226 0.125 0.601
S 0.375 0.476 0.601
S 0.524 0.125 0.899
S 0.375 0.774 0.899
Si 0.346 0.222 0.124
Si 0.778 0.901 0.124
Si 0.404 0.028 0.376
Si 0.972 0.349 0.376
Si 0.651 0.028 0.624
Si 0.972 0.596 0.624
Si 0.099 0.222 0.876
Si 0.778 0.654 0.876

Values from the calculation:
Uncorrected energy in eV/cell: -489.83
Space-group type: I4_1/amd
Total magnetization in μB/f.u.: 0.01

[3]
DFT (PBE) results for a relaxed Hf4Sc2Cu3C3 crystal.

Unit cell a=5.644 b=5.644 c=14.255 alpha=101.93 beta=101.93 gamma=59.98
Atoms (fractional coordinates):
C 0.500 0.000 0.000
C 0.161 0.669 0.000
C 0.331 0.839 0.500
C 0.000 0.500 0.500
C 0.669 0.161 0.500
C 0.839 0.331 0.000
Cu 0.586 0.898 0.250
Cu 0.074 0.926 0.250
Cu 0.102 0.414 0.250
Cu 0.898 0.586 0.750
Cu 0.926 0.074 0.750
Cu 0.414 0.102 0.750
Hf 0.203 0.023 0.088
Hf 0.857 0.695 0.088
Hf 0.305 0.143 0.412
Hf 0.977 0.797 0.412
Hf 0.023 0.203 0.588
Hf 0.695 0.857 0.588
Hf 0.143 0.305 0.912
Hf 0.797 0.977 0.912
Sc 0.536 0.375 0.104
Sc 0.625 0.464 0.396
Sc 0.375 0.536 0.604
Sc 0.464 0.625 0.896

Values from the calculation:
Uncorrected energy in eV/cell: -192.55
Space-group type: C2/c
Total magnetization in μB/f.u.: 0.03

[4]
DFT (PBE) results for a relaxed YTmS2Cl2 crystal.

Unit cell a=3.963 b=5.337 c=8.283 alpha=90.00 beta=90.00 gamma=90.00
Atoms (fractional coordinates):
Cl 0.000 0.000 0.348
Cl 0.500 0.500 0.645
S 0.500 0.500 0.092
S 0.000 0.000 0.915
Tm 0.500 0.000 0.138
Y 0.000 0.500 0.861

Values from the calculation:
Uncorrected energy in eV/cell: -36.00
Space-group type: Pmm2
Total magnetization in μB/f.u.: 0.00

[5]
DFT (PBE) results for a relaxed KPmOs crystal.

Unit cell a=4.947 b=4.947 c=4.947 alpha=60.00 beta=60.00 gamma=60.00
Atoms (fractional coordinates):
K 0.250 0.250 0.250
Os 0.000 0.000 0.000
Pm 0.750 0.750 0.750

Values from the calculation:
Uncorrected energy in eV/cell: -14.05
Space-group type: F-43m
Total magnetization in μB/f.u.: 0.00

[6]
DFT (PBE) results for a relaxed Nd3GaAu4 crystal.

Unit cell a=5.702 b=4.691 c=7.325 alpha=90.00 beta=91.34 gamma=90.00
Atoms (fractional coordinates):
Au 0.828 0.500 0.017
Au 0.347 0.000 0.471
Au 0.660 0.500 0.550
Au 0.162 0.000 0.953
Ga 0.631 0.000 0.831
Nd 0.359 0.500 0.180
Nd 0.852 0.000 0.310
Nd 0.161 0.500 0.689

Values from the calculation:
Uncorrected energy in eV/cell: -35.70
Space-group type: Pm
Total magnetization in μB/f.u.: 0.00

[7]
DFT (PBE) results for a relaxed NaZnTe crystal.

Unit cell a=5.036 b=5.036 c=5.036 alpha=60.00 beta=60.00 gamma=60.00
Atoms (fractional coordinates):
Na 0.750 0.750 0.750
Te 0.000 0.000 0.000
Zn 0.250 0.250 0.250

Values from the calculation:
Uncorrected energy in eV/cell: -6.52
Space-group type: F-43m

[8]
DFT (PBE) results for a relaxed Y4Hf2Ni3N3 crystal.

Unit cell a=5.868 b=5.868 c=13.843 alpha=102.29 beta=102.29 gamma=60.12
Atoms (fractional coordinates):
Hf 0.348 0.527 0.082
Hf 0.473 0.652 0.418
Hf 0.527 0.348 0.582
Hf 0.652 0.473 0.918
N 0.654 0.192 0.000
N 0.000 0.500 0.000
N 0.346 0.808 0.000
N 0.192 0.654 0.500
N 0.500 0.000 0.500
N 0.808 0.346 0.500
Ni 0.415 0.342 0.250
Ni 0.176 0.824 0.250
Ni 0.658 0.585 0.250
Ni 0.342 0.415 0.750
Ni 0.824 0.176 0.750
Ni 0.585 0.658 0.750
Y 0.045 0.195 0.113
Y 0.702 0.881 0.114
Y 0.119 0.298 0.386
Y 0.805 0.955 0.387
Y 0.195 0.045 0.613
Y 0.881 0.702 0.614
Y 0.298 0.119 0.886
Y 0.955 0.805 0.887

Values from the calculation:
Uncorrected energy in eV/cell: -196.86
Space-group type: C2/c
Total magnetization in μB/f.u.: 0.00